(1)
{"formula": "Mg2InCoGe", "functional": "PBE", "state": "optimized geometry", "dos_at_fermi_per_ev_cell": 3.36, "formation_energy_kj_per_mol_fu": 138, "dft_energy_ev_per_atom": -3.24, "total_magnetization_mub_per_cell": 0.72, "cell": [[5.037, 0.000, 0.000], [0.000, 5.037, 0.000], [0.000, 0.000, 4.439]], "species": ["Mg", "Mg", "In", "Co", "Ge"], "fractional_positions": [[0.000, 0.500, 0.000], [0.500, 0.000, 0.000], [0.000, 0.000, 0.500], [0.500, 0.500, 0.500], [0.500, 0.500, 0.000]]}

=====

(2)
{"formula": "MgInCoGe2", "functional": "PBE", "state": "optimized geometry", "dos_at_fermi_per_ev_cell": 3.29, "formation_energy_kj_per_mol_fu": 19, "dft_energy_ev_per_atom": -4.10, "total_magnetization_mub_per_cell": 0.00, "cell": [[4.544, 0.000, 0.000], [0.000, 4.544, 0.000], [0.000, 0.000, 4.959]], "species": ["Mg", "In", "Co", "Ge", "Ge"], "fractional_positions": [[0.000, 0.000, 0.000], [0.500, 0.500, 0.000], [0.000, 0.000, 0.500], [0.000, 0.500, 0.500], [0.500, 0.000, 0.500]]}

=====

(3)
{"formula": "InCoGeN2", "functional": "PBE", "state": "optimized geometry", "dos_at_fermi_per_ev_cell": 4.67, "raw_formation_energy_ev_per_atom": 1.283, "dft_energy_ev_per_atom": -4.94, "total_magnetization_mub_per_cell": 2.55, "cell": [[3.806, 0.000, 0.000], [0.000, 3.806, 0.000], [0.000, 0.000, 4.942]], "species": ["In", "Co", "Ge", "N", "N"], "fractional_positions": [[0.000, 0.000, 0.000], [0.500, 0.500, 0.000], [0.500, 0.500, 0.500], [0.000, 0.500, 0.500], [0.500, 0.000, 0.500]]}

=====

Which formula does entry 3 have?
InCoGeN2